(1)
DFT (GGA-PBE) results for crystalline CeMg2Zn3 at its relaxed geometry.

```
data_CeMg2Zn3
_chemical_formula_sum 'Ce2 Mg4 Zn6'
_cell_length_a 6.590
_cell_length_b 6.590
_cell_length_c 6.023
_cell_angle_alpha 90.00
_cell_angle_beta 90.00
_cell_angle_gamma 76.79
_symmetry_space_group_name_H-M 'P 1'
_symmetry_Int_Tables_number 1
_symmetry_space_group_name_Hall 'P 1'
loop_
_atom_site_label
_atom_site_type_symbol
_atom_site_fract_x
_atom_site_fract_y
_atom_site_fract_z
Ce1 Ce 0.170 0.830 0.750
Ce2 Ce 0.830 0.170 0.250
Mg1 Mg 0.285 0.285 0.000
Mg2 Mg 0.285 0.285 0.500
Mg3 Mg 0.715 0.715 0.000
Mg4 Mg 0.715 0.715 0.500
Zn1 Zn 0.063 0.676 0.250
Zn2 Zn 0.324 0.937 0.250
Zn3 Zn 0.453 0.547 0.250
Zn4 Zn 0.547 0.453 0.750
Zn5 Zn 0.676 0.063 0.750
Zn6 Zn 0.937 0.324 0.750
```

Computed properties:
As for the total magnetization: 2.2 μB per cell. The calculated volume comes out at 254.7 Å³ per cell. Its theoretical density is 5020 kg/m3. The calculation puts the total energy at -2.267 eV per atom. As for the crystal system: orthorhombic.

(2)
DFT (GGA-PBE) results for crystalline CeMg2Zn at its relaxed geometry.

```
data_CeMg2Zn
_chemical_formula_sum 'Ce1 Mg2 Zn1'
_cell_length_a 3.177
_cell_length_b 3.177
_cell_length_c 8.687
_cell_angle_alpha 90.00
_cell_angle_beta 90.00
_cell_angle_gamma 90.00
_symmetry_space_group_name_H-M 'P 1'
_symmetry_Int_Tables_number 1
_symmetry_space_group_name_Hall 'P 1'
loop_
_atom_site_label
_atom_site_type_symbol
_atom_site_fract_x
_atom_site_fract_y
_atom_site_fract_z
Ce1 Ce 0.000 0.000 0.000
Mg1 Mg 0.500 0.500 0.299
Mg2 Mg 0.500 0.500 0.701
Zn1 Zn 0.000 0.000 0.500
```

Computed properties:
As for the total magnetization: 0.6 μB per cell. The calculated volume comes out at 87.7 Å³ per cell. Its theoretical density is 4813 kg/m3. The calculation puts the total energy at -2.648 eV per atom. As for the crystal system: tetragonal.

What did the second record say?
DFT (GGA-PBE) results for crystalline CeMg2Zn at its relaxed geometry.

```
data_CeMg2Zn
_chemical_formula_sum 'Ce1 Mg2 Zn1'
_cell_length_a 3.177
_cell_length_b 3.177
_cell_length_c 8.687
_cell_angle_alpha 90.00
_cell_angle_beta 90.00
_cell_angle_gamma 90.00
_symmetry_space_group_name_H-M 'P 1'
_symmetry_Int_Tables_number 1
_symmetry_space_group_name_Hall 'P 1'
loop_
_atom_site_label
_atom_site_type_symbol
_atom_site_fract_x
_atom_site_fract_y
_atom_site_fract_z
Ce1 Ce 0.000 0.000 0.000
Mg1 Mg 0.500 0.500 0.299
Mg2 Mg 0.500 0.500 0.701
Zn1 Zn 0.000 0.000 0.500
```

Computed properties:
As for the total magnetization: 0.6 μB per cell. The calculated volume comes out at 87.7 Å³ per cell. Its theoretical density is 4813 kg/m3. The calculation puts the total energy at -2.648 eV per atom. As for the crystal system: tetragonal.

Question: calculated volume of number 1 (CeMg2Zn3)?
Answer: 254.7 Å³ per cell